A plane-wave DFT calculation with GGA+U was carried out for a relaxed Tl3Ni2OsO6 crystal.

a = 5.468 Å, b = 5.468 Å, c = 6.817 Å
α = 97.68°, β = 97.68°, γ = 120.03°
Site moments in Bohr magnetons follow the coordinates.
Positions (direct):
Os (0.000, 0.000, 0.000)  1.83
O (0.053, 0.364, 0.157)  0.14
O (0.947, 0.636, 0.843)  0.14
O (0.636, 0.947, 0.843)  0.14
O (0.743, 0.743, 0.160)  0.13
O (0.364, 0.053, 0.157)  0.14
O (0.257, 0.257, 0.840)  0.13
Tl (0.832, 0.168, 0.500)  0.01
Tl (0.168, 0.832, 0.500)  0.01
Tl (0.500, 0.500, 0.500)  0.01
Ni (0.667, 0.333, 0.000)  1.79
Ni (0.333, 0.667, 0.000)  1.79

Properties
Its density is 9.9 Mg/m³. The calculated total energy comes out at -5.189 eV per atom. Its volume is 170 Å³ per cell.